# Na2LiHg2

A PBEsol-optimized structure of Na2LiHg2 (SCAN, Alexandria via LeMat-Bulk).

Properties
Density of states at the Fermi level, states/eV/cell: 3.6
Crystal system: tetragonal
ΔH_f (0 K), meV/atom: -284
SG: P4/mbm, No. 127

a b c (Å): 4.790 7.229 7.229
angles (deg): 90.00 90.00 90.00
Fractional positions:
Hg1 0.000 0.359 0.859
Na1 0.500 0.332 0.168
Li1 0.000 0.000 0.000
Na2 0.500 0.832 0.332
Hg2 0.000 0.141 0.359
Na3 0.500 0.168 0.668
Hg3 0.000 0.641 0.141
Hg4 0.000 0.859 0.641
Na4 0.500 0.668 0.832
Li2 0.000 0.500 0.500

=====

# Li3NbHg

A PBEsol-optimized structure of Li3NbHg (SCAN, Alexandria via LeMat-Bulk).

Properties
Density of states at the Fermi level, states/eV/cell: 1.9
Crystal system: cubic
ΔH_f (0 K), meV/atom: 616
SG: Pm-3m, No. 221

a b c (Å): 4.722 4.722 4.722
angles (deg): 90.00 90.00 90.00
Fractional positions:
Li1 0.000 0.000 0.500
Li2 0.500 0.000 0.000
Hg1 0.000 0.000 0.000
Nb1 0.500 0.500 0.500
Li3 0.000 0.500 0.000

=====

# LiNbHgPd2

A PBEsol-optimized structure of LiNbHgPd2 (SCAN, Alexandria via LeMat-Bulk).

Properties
Density of states at the Fermi level, states/eV/cell: 3.3
Crystal system: tetragonal
ΔH_f (0 K), meV/atom: 544
SG: P4/mmm, No. 123

a b c (Å): 4.205 4.205 4.627
angles (deg): 90.00 90.00 90.00
Fractional positions:
Hg1 0.500 0.500 0.500
Li1 0.000 0.000 0.000
Nb1 0.000 0.000 0.500
Pd1 0.500 0.000 0.000
Pd2 0.000 0.500 0.000

=====

# Li2NiHg

A PBEsol-optimized structure of Li2NiHg (SCAN, Alexandria via LeMat-Bulk).

Properties
Density of states at the Fermi level, states/eV/cell: 1.2
Crystal system: tetragonal
ΔH_f (0 K), meV/atom: -165
SG: I4/mmm, No. 139

a b c (Å): 3.765 3.770 4.721
angles (deg): 113.53 113.50 90.00
Fractional positions:
Ni1 0.500 0.000 0.000
Li1 0.250 0.250 0.500
Li2 0.750 0.750 0.500
Hg1 0.000 0.500 0.000

=====

# LiNiHg

A PBEsol-optimized structure of LiNiHg (SCAN, Alexandria via LeMat-Bulk).

Properties
Density of states at the Fermi level, states/eV/cell: 1.8
Crystal system: trigonal
ΔH_f (0 K), meV/atom: 202
SG: P3m1, No. 156

a b c (Å): 2.871 2.871 6.425
angles (deg): 90.00 90.00 120.00
Fractional positions:
Li1 0.333 0.667 0.644
Ni1 0.667 0.333 0.345
Hg1 0.000 0.000 0.011

=====

# Li2NiHg

A PBEsol-optimized structure of Li2NiHg (SCAN, Alexandria via LeMat-Bulk).

Properties
Density of states at the Fermi level, states/eV/cell: 1.8
Crystal system: cubic
ΔH_f (0 K), meV/atom: -169
SG: F-43m, No. 216

a b c (Å): 4.303 4.303 4.303
angles (deg): 60.00 60.00 60.00
Fractional positions:
Li1 0.000 0.000 0.000
Ni1 0.250 0.250 0.250
Li2 0.750 0.750 0.750
Hg1 0.500 0.500 0.500

=====

# LiHgO3

A PBEsol-optimized structure of LiHgO3 (SCAN, Alexandria via LeMat-Bulk).

Properties
Density of states at the Fermi level, states/eV/cell: 5.0
Crystal system: cubic
ΔE_f (raw), eV per atom: 0.10
SG: Pm-3m, No. 221

a b c (Å): 4.151 4.151 4.151
angles (deg): 90.00 90.00 90.00
Fractional positions:
Li1 0.000 0.000 0.000
O1 0.500 0.500 0.000
O2 0.000 0.500 0.500
O3 0.500 0.000 0.500
Hg1 0.500 0.500 0.500

=====

# Li2HgO

A PBEsol-optimized structure of Li2HgO (SCAN, Alexandria via LeMat-Bulk).

Properties
Crystal system: cubic
ΔE_f (raw), eV per atom: -0.70
SG: Fm-3m, No. 225

a b c (Å): 4.217 4.217 4.217
angles (deg): 60.00 60.00 60.00
Fractional positions:
O1 0.000 0.000 0.000
Hg1 0.500 0.500 0.500
Li1 0.250 0.250 0.250
Li2 0.750 0.750 0.750

=====

# Li2HgP4O12

A PBEsol-optimized structure of Li2HgP4O12 (SCAN, Alexandria via LeMat-Bulk).

Properties
Density of states at the Fermi level, states/eV/cell: 0.0
Crystal system: monoclinic
ΔE_f (raw), eV per atom: -2.24
SG: P2_1/c, No. 14

a b c (Å): 9.468 9.565 10.023
angles (deg): 90.00 90.00 91.83
Fractional positions:
Hg1 0.747 0.487 0.309
O1 0.257 0.147 0.116
P1 0.038 0.795 0.608
P2 0.236 0.229 0.534
O2 0.752 0.104 0.715
O3 0.909 0.341 0.988
P3 0.269 0.302 0.099
O4 0.248 0.896 0.285
P4 0.962 0.205 0.392
O5 0.091 0.159 0.488
O6 0.342 0.661 0.067
P5 0.494 0.799 0.601
O7 0.967 0.115 0.270
Li1 0.890 0.998 0.824
P6 0.731 0.698 0.901
O8 0.170 0.352 0.977
Li2 0.393 0.000 0.177
Li3 0.110 0.502 0.324
P7 0.506 0.701 0.101
O9 0.036 0.638 0.618
Li4 0.393 0.500 0.323
O10 0.036 0.138 0.882
O11 0.239 0.387 0.512
O12 0.658 0.339 0.933
O13 0.524 0.357 0.384
O14 0.830 0.648 0.023
P8 0.731 0.198 0.599
O15 0.761 0.113 0.012
O16 0.460 0.897 0.713
O17 0.033 0.385 0.770
Hg2 0.253 0.013 0.809
O18 0.909 0.841 0.512
Li5 0.607 0.000 0.823
O19 0.170 0.852 0.523
P9 0.269 0.802 0.401
O20 0.248 0.396 0.215
O21 0.540 0.603 0.213
Li6 0.890 0.498 0.676
O22 0.460 0.397 0.787
O23 0.540 0.103 0.287
O24 0.476 0.643 0.616
O25 0.743 0.853 0.884
P10 0.764 0.271 0.034
O26 0.239 0.887 0.988
O27 0.752 0.604 0.785
O28 0.580 0.653 0.965
O29 0.091 0.659 0.012
O30 0.524 0.857 0.116
O31 0.420 0.847 0.465
Li7 0.607 0.500 0.677
P11 0.962 0.705 0.108
Hg3 0.747 0.987 0.191
O32 0.658 0.839 0.567
O33 0.734 0.314 0.174
O34 0.420 0.347 0.035
O35 0.964 0.362 0.382
O36 0.743 0.353 0.616
O37 0.967 0.615 0.230
O38 0.257 0.647 0.384
O39 0.033 0.885 0.730
Li8 0.110 0.002 0.176
O40 0.761 0.613 0.488
O41 0.266 0.186 0.674
O42 0.342 0.161 0.433
P12 0.494 0.299 0.899
P13 0.764 0.771 0.466
P14 0.038 0.295 0.892
P15 0.506 0.201 0.399
P16 0.236 0.729 0.966
O43 0.964 0.862 0.118
Hg4 0.253 0.513 0.691
O44 0.734 0.814 0.326
O45 0.580 0.153 0.535
O46 0.830 0.148 0.477
O47 0.266 0.686 0.826
O48 0.476 0.143 0.884

=====

# LiHgOs2

A PBEsol-optimized structure of LiHgOs2 (SCAN, Alexandria via LeMat-Bulk).

Properties
Density of states at the Fermi level, states/eV/cell: 3.2
Crystal system: monoclinic
ΔH_f (0 K), meV/atom: 499
SG: C2/m, No. 12

a b c (Å): 2.761 4.542 5.506
angles (deg): 113.94 103.87 91.54
Fractional positions:
Os1 0.500 0.500 0.500
Li1 0.000 0.500 0.000
Os2 0.000 0.000 0.500
Hg1 0.500 0.000 0.000

=====

# LiHgOs2

A PBEsol-optimized structure of LiHgOs2 (SCAN, Alexandria via LeMat-Bulk).

Properties
Density of states at the Fermi level, states/eV/cell: 3.5
Crystal system: tetragonal
ΔH_f (0 K), meV/atom: 850
SG: P4/mmm, No. 123

a b c (Å): 3.029 3.029 6.285
angles (deg): 90.00 90.00 90.00
Fractional positions:
Hg1 0.500 0.500 0.000
Os1 0.000 0.000 0.690
Li1 0.500 0.500 0.500
Os2 0.000 0.000 0.310

=====

# LiHg3Os

A PBEsol-optimized structure of LiHg3Os (SCAN, Alexandria via LeMat-Bulk).

Properties
Density of states at the Fermi level, states/eV/cell: 3.7
Crystal system: cubic
ΔH_f (0 K), meV/atom: 528
SG: Pm-3m, No. 221

a b c (Å): 5.181 5.181 5.181
angles (deg): 90.00 90.00 90.00
Fractional positions:
Os1 0.000 0.000 0.000
Li1 0.500 0.500 0.500
Hg1 0.000 0.000 0.500
Hg2 0.500 0.000 0.000
Hg3 0.000 0.500 0.000

=====

# LiHgOs2

A PBEsol-optimized structure of LiHgOs2 (SCAN, Alexandria via LeMat-Bulk).

Properties
Density of states at the Fermi level, states/eV/cell: 3.5
Crystal system: trigonal
ΔH_f (0 K), meV/atom: 723
SG: R-3m, No. 166

a b c (Å): 2.741 2.741 9.508
angles (deg): 81.71 81.71 60.00
Fractional positions:
Os1 0.747 0.747 0.760
Li1 0.000 0.000 0.000
Os2 0.253 0.253 0.240
Hg1 0.500 0.500 0.500

=====

# RbLiHg2Os

A PBEsol-optimized structure of RbLiHg2Os (SCAN, Alexandria via LeMat-Bulk).

Properties
Density of states at the Fermi level, states/eV/cell: 2.8
Crystal system: tetragonal
ΔH_f (0 K), meV/atom: 1232
SG: P4/mmm, No. 123

a b c (Å): 4.886 4.886 4.994
angles (deg): 90.00 90.00 90.00
Fractional positions:
Hg1 0.000 0.500 0.000
Rb1 0.000 0.000 0.500
Li1 0.000 0.000 0.000
Os1 0.500 0.500 0.500
Hg2 0.500 0.000 0.000

=====

# Li2TiHgOs

A PBEsol-optimized structure of Li2TiHgOs (SCAN, Alexandria via LeMat-Bulk).

Properties
Density of states at the Fermi level, states/eV/cell: 3.1
Crystal system: tetragonal
ΔH_f (0 K), meV/atom: 997
SG: P4/mmm, No. 123

a b c (Å): 4.454 4.454 5.081
angles (deg): 90.00 90.00 90.00
Fractional positions:
Li1 0.000 0.500 0.000
Os1 0.000 0.000 0.000
Ti1 0.500 0.500 0.500
Hg1 0.000 0.000 0.500
Li2 0.500 0.000 0.000

=====

# Li4HgP

A PBEsol-optimized structure of Li4HgP (SCAN, Alexandria via LeMat-Bulk).

Properties
Density of states at the Fermi level, states/eV/cell: 1.1
Crystal system: cubic
ΔH_f (0 K), meV/atom: -90
SG: F-43m, No. 216

a b c (Å): 5.110 5.110 5.110
angles (deg): 60.00 60.00 60.00
Fractional positions:
Li1 0.376 0.376 0.873
Li2 0.873 0.376 0.376
Li3 0.376 0.873 0.376
Li4 0.376 0.376 0.376
P1 0.750 0.750 0.750
Hg1 0.000 0.000 0.000

=====

# LiHgP

A PBEsol-optimized structure of LiHgP (SCAN, Alexandria via LeMat-Bulk).

Properties
Density of states at the Fermi level, states/eV/cell: 0.9
Crystal system: orthorhombic
ΔH_f (0 K), meV/atom: -29
SG: Imm2, No. 44

a b c (Å): 2.808 3.904 5.310
angles (deg): 111.57 105.33 90.00
Fractional positions:
P1 0.302 0.302 0.605
Li1 0.692 0.692 0.385
Hg1 0.005 0.005 0.010

=====

# LiHgP2

A PBEsol-optimized structure of LiHgP2 (SCAN, Alexandria via LeMat-Bulk).

Properties
Density of states at the Fermi level, states/eV/cell: 1.5
Crystal system: tetragonal
ΔH_f (0 K), meV/atom: 253
SG: I-4m2, No. 119

a b c (Å): 3.971 3.971 5.043
angles (deg): 113.18 113.18 90.00
Fractional positions:
P1 0.000 0.000 0.000
Hg1 0.500 0.500 0.000
P2 0.750 0.250 0.500
Li1 0.250 0.750 0.500

=====

# LiHg2P

A PBEsol-optimized structure of LiHg2P (SCAN, Alexandria via LeMat-Bulk).

Properties
Density of states at the Fermi level, states/eV/cell: 1.3
Crystal system: tetragonal
ΔH_f (0 K), meV/atom: 14
SG: I4/mmm, No. 139

a b c (Å): 4.187 4.188 5.138
angles (deg): 114.05 114.04 90.00
Fractional positions:
Hg1 0.750 0.750 0.500
P1 0.500 0.000 0.000
Li1 0.000 0.500 0.000
Hg2 0.250 0.250 0.500

=====

# LiHgP2

A PBEsol-optimized structure of LiHgP2 (SCAN, Alexandria via LeMat-Bulk).

Properties
Density of states at the Fermi level, states/eV/cell: 1.0
Crystal system: tetragonal
ΔH_f (0 K), meV/atom: -28
SG: P4/mmm, No. 123

a b c (Å): 3.605 3.605 5.411
angles (deg): 90.00 90.00 90.00
Fractional positions:
P1 0.000 0.000 0.310
Hg1 0.500 0.500 0.000
Li1 0.500 0.500 0.500
P2 0.000 0.000 0.690

=====

no.,volume (Å³/atom),E_tot (eV per atom)
1,25.0,-29.71
2,21.1,-21.08
3,16.4,-33.30
4,13.8,-22.44
5,15.3,-28.71
6,14.1,-22.45
7,14.3,-17.75
8,13.3,-20.49
9,11.9,-12.21
10,15.2,-53.08
11,14.4,-52.73
12,27.8,-55.23
13,15.3,-52.86
14,23.8,-45.04
15,20.2,-31.17
16,15.7,-14.78
17,17.3,-27.01
18,16.5,-22.58
19,18.4,-37.27
20,17.6,-22.87